1.
DFT (PBE) results for a relaxed structure of CuBiSbF.

Cell: 6.0977 6.5822 8.3112 Å, 90.00 90.00 90.00°
Fractional coordinates of all 16 atoms:
Cu (0.2441, 0.0719, 0.4845)
Cu (0.2559, 0.9281, 0.9845)
Cu (0.7441, 0.4281, 0.5155)
Cu (0.7559, 0.5719, 0.0155)
Bi (0.0713, 0.2887, 0.9013)
Bi (0.4287, 0.7113, 0.4013)
Bi (0.5713, 0.2113, 0.0987)
Bi (0.9287, 0.7887, 0.5987)
Sb (0.0155, 0.4753, 0.2635)
Sb (0.4845, 0.5247, 0.7635)
Sb (0.5155, 0.0247, 0.7365)
Sb (0.9845, 0.9753, 0.2365)
F (0.0105, 0.2514, 0.6093)
F (0.4895, 0.7486, 0.1093)
F (0.5105, 0.2486, 0.3907)
F (0.9895, 0.7514, 0.8907)


2.
DFT (PBE) results for a relaxed structure of ZrTaCoAs.

Output
Total magnetic moment: 1.16 μB per cell

Cell: 4.5231 4.5231 4.5231 Å, 60.00 60.00 60.00°
Fractional coordinates of all 4 atoms:
Zr (0.0000, 0.0000, 0.0000)
Ta (0.2500, 0.2500, 0.2500)
Co (0.7500, 0.7500, 0.7500)
As (0.5000, 0.5000, 0.5000)


no.,raw total energy (eV for the cell shown),ΔE to the lowest computed polymorph (eV per formula unit)
1,-63.085,0.459
2,-31.140,0.000